Record 1
Density functional theory data (PBE) for a relaxed La3OsPb crystal.

For the formation energy from the elements, the calculation gives -0.1399 eV per atom.

It has space group Pnma (No. 62), with a = 7.811 Å, b = 9.214 Å, c = 8.882 Å, α = 90.00°, β = 90.00° and γ = 90.00°. Symmetry generates all atoms from La at (0.121, 0.066, 0.151), La at (0.170, 0.250, 0.760), Os at (0.104, 0.750, 0.015) and Pb at (0.000, 0.000, 0.500).

***

Record 2
Density functional theory data (PBE) for a relaxed La3OsPb crystal.

For the formation energy from the elements, the calculation gives -0.2126 eV per atom.

It has space group P2_1/c (No. 14), with a = 8.702 Å, b = 7.675 Å, c = 12.019 Å, α = 90.00°, β = 130.66° and γ = 90.00°. Symmetry generates all atoms from La at (0.056, 0.174, 0.462), La at (0.257, 0.693, 0.893), La at (0.376, 0.005, 0.174), Os at (0.002, 0.538, 0.376) and Pb at (0.253, 0.157, 0.822).

***

Record 3
Density functional theory data (PBE) for a relaxed La2OsPb crystal.

For the formation energy from the elements, the calculation gives 0.0300 eV per atom.

It has space group F-43m (No. 216), with a = 7.304 Å, b = 7.304 Å, c = 7.304 Å, α = 90.00°, β = 90.00° and γ = 90.00°. Symmetry generates all atoms from La at (0.000, 0.000, 0.000), La at (0.250, 0.250, 0.250), Os at (0.250, 0.250, 0.750) and Pb at (0.000, 0.000, 0.500).

***

Which of these has the highest formation energy from the elements?
La2OsPb